13
Lattice="-2.776 4.769 4.575 2.776 -4.769 4.575 2.776 4.769 -4.575" Properties=species:S:1:pos:R:3 comment="Li7InAg5 (PBE, relaxed)" space_group="Imm2 (44)" e_form_ev_per_atom=-0.16 dos_ef_per_ev_cell=3.62 dft_energy_ev_per_atom=-2.50 total_magnetization_mub_per_fu=0.00 pbc="T T T"
Li 0.000 0.000 0.000
Li 2.776 2.010 0.210
Li 0.000 0.000 3.059
Li 0.000 3.343 0.131
Li 0.000 6.195 0.131
Li 0.000 4.769 2.731
Li 0.000 2.759 4.784
In 0.000 0.000 5.948
Ag 1.402 2.320 -2.095
Ag 4.151 2.320 -2.095
Ag 2.776 0.000 2.102
Ag -1.375 2.448 2.480
Ag 1.375 2.448 2.480